# 1
Compound: Cd2AgSn
Source: OQMD
Functional: PBE
Structure: optimized geometry

The space group is F-43m (No. 216) and the conventional cell measures 7.098, 7.098 and 7.098 Å, with angles of 90.00, 90.00 and 90.00 degrees. The distinct sites, in fractional coordinates, are Cd at (0.000, 0.000, 0.000), Cd at (0.250, 0.250, 0.250), Ag at (0.250, 0.250, 0.750) and Sn at (0.000, 0.000, 0.500).

---

# 2
Compound: PaZnSi
Source: OQMD
Functional: PBE
Structure: optimized geometry

The space group is F-43m (No. 216) and the conventional cell measures 6.377, 6.377 and 6.377 Å, with angles of 90.00, 90.00 and 90.00 degrees. The distinct sites, in fractional coordinates, are Pa at (0.000, 0.000, 0.000), Zn at (0.000, 0.000, 0.500) and Si at (0.250, 0.250, 0.250).

The value obtained for the magnetic moment is 3.17 μB per cell.

---

DFT total energy per entry: -2.063, -5.299 eV per atom